Computed, not measured: an optimized crystal structure of CrCoNi2 at the PBE-GGA level of DFT.

Output
- ΔH_f (0 K) (eV/f.u.) = 0.9
- volume (A^3/atom) = 11.0
- magnetic moment (μB per cell) = 0.00

POSCAR file:
```
CrCoNi2
1.0
0.000 2.799 2.799
2.799 0.000 2.799
2.799 2.799 0.000
Cr Co Ni
1 1 2
direct
0.000 0.000 0.000
0.500 0.500 0.500
0.250 0.250 0.250
0.750 0.750 0.750
```